No. 1
First-principles (GGA-PBE) data for crystalline TbCe2Tc at its relaxed geometry, as listed in the Alexandria database.

Density = 8.78 Mg/m³
DFT formation energy = 53 meV/atom

Geometry as POSCAR:
```
TbCe2Tc
1.0
3.432 0.000 0.000
0.000 3.432 0.000
0.000 0.000 8.631
Tb Ce Tc
1 2 1
Cartesian
0.000 0.000 0.000 Tb
1.716 1.716 2.578 Ce
1.716 1.716 6.053 Ce
0.000 0.000 4.316 Tc
```

***

No. 2
First-principles (GGA-PBE) data for crystalline LiHf2GaN at its relaxed geometry, as listed in the Alexandria database.

Formation energy (no corrections) = -0.85 eV per atom
Density = 9.75 Mg/m³

Geometry as POSCAR:
```
LiHf2GaN
1.0
4.372 0.000 0.000
0.000 4.372 0.000
0.000 0.000 3.987
Li Hf Ga N
1 2 1 1
Cartesian
0.000 0.000 0.000 Li
0.000 2.186 1.994 Hf
2.186 0.000 1.994 Hf
2.186 2.186 0.000 Ga
0.000 0.000 1.994 N
```

***

No. 3
First-principles (GGA-PBE) data for crystalline ScIr2 at its relaxed geometry, as listed in the Alexandria database.

Density = 14.81 Mg/m³
DFT formation energy = -481 meV/atom

Geometry as POSCAR:
```
ScIr2
1.0
1.458 -7.353 0.000
1.458 7.353 0.000
0.000 0.000 4.490
Sc Ir
2 4
Cartesian
1.458 5.876 3.367 Sc
1.458 -5.876 1.122 Sc
1.458 3.994 1.122 Ir
1.458 0.974 3.367 Ir
1.458 -0.974 1.122 Ir
1.458 -3.994 3.367 Ir
```

***

No. 4
First-principles (GGA-PBE) data for crystalline HgSb2Se at its relaxed geometry, as listed in the Alexandria database.

Formation energy (no corrections) = 0.11 eV per atom
Density = 7.79 Mg/m³

Geometry as POSCAR:
```
HgSb2Se
1.0
-1.915 2.189 6.650
1.915 -2.189 6.650
1.915 2.189 -6.650
Hg Sb Se
1 2 1
Cartesian
0.000 0.000 0.000 Hg
1.915 0.000 3.377 Sb
0.000 0.000 5.821 Sb
0.000 2.189 2.723 Se
```

***

No. 5
First-principles (GGA-PBE) data for crystalline YEr3 at its relaxed geometry, as listed in the Alexandria database.

Density = 7.82 Mg/m³
DFT formation energy = 4 meV/atom

Geometry as POSCAR:
```
YEr3
1.0
7.198 0.000 0.000
-3.599 6.234 0.000
0.000 0.000 5.592
Y Er
2 6
Cartesian
0.000 4.156 1.398 Y
3.599 2.078 4.194 Y
0.000 2.067 4.194 Er
-1.809 5.200 4.194 Er
1.790 1.034 1.398 Er
1.809 5.200 4.194 Er
5.408 1.034 1.398 Er
3.599 4.167 1.398 Er
```

***

No. 6
First-principles (GGA-PBE) data for crystalline TbPmOsPt at its relaxed geometry, as listed in the Alexandria database.

Density = 13.35 Mg/m³
DFT formation energy = -540 meV/atom

Geometry as POSCAR:
```
TbPmOsPt
1.0
0.000 3.499 3.499
3.499 0.000 3.499
3.499 3.499 0.000
Tb Pm Os Pt
1 1 1 1
Cartesian
0.000 0.000 0.000 Tb
3.499 3.499 3.499 Pm
1.750 1.750 1.750 Os
5.249 5.249 5.249 Pt
```